CaPr2CrN4: relaxed, PBE-GGA.

a = 3.528 Å, b = 6.426 Å, c = 12.167 Å
α = 90.00°, β = 90.00°, γ = 105.93°
Site moments in Bohr magnetons follow the coordinates.
Sites, in units of the cell vectors:
Ca: 0.123 0.245 0.750  0.04
Ca: 0.877 0.755 0.250  0.04
Pr: 0.370 0.739 0.539  0.06
Pr: 0.630 0.261 0.039  0.06
Pr: 0.630 0.261 0.461  0.06
Pr: 0.370 0.739 0.961  0.06
Cr: 0.827 0.655 0.750  1.54
Cr: 0.173 0.345 0.250  1.54
N: 0.265 0.529 0.134  -0.02
N: 0.735 0.471 0.634  -0.02
N: 0.735 0.471 0.866  -0.02
N: 0.265 0.529 0.366  -0.02
N: 0.000 0.000 0.500  0.01
N: 0.000 0.000 0.000  0.01
N: 0.394 0.787 0.750  -0.09
N: 0.606 0.213 0.250  -0.09

Calculated total energy: -7.73 eV per atom
Crystal system: orthorhombic
Total magnetization: 0.241 μB/atom